A plane-wave DFT calculation with PBE was carried out for an optimized crystal structure of Ce3Ge9OsPt2.

Structure (POSCAR):
```
Ce3Ge9OsPt2
1.0
7.4192 0.0000 0.0000
-3.7096 6.4252 0.0000
0.0000 0.0000 7.3176
Ce Ge Os Pt
3 9 1 2
Direct
0.0000 0.0000 0.0000
0.3333 0.6667 0.6997
0.6667 0.3333 0.3003
0.0000 0.5000 0.0000
0.1508 0.3016 0.2932
0.1508 0.8492 0.2932
0.3016 0.1508 0.7068
0.5000 0.0000 0.0000
0.5000 0.5000 0.0000
0.6984 0.8492 0.2932
0.8492 0.1508 0.7068
0.8492 0.6984 0.7068
0.0000 0.0000 0.5000
0.3333 0.6667 0.3208
0.6667 0.3333 0.6792
```

Summary:
Formation energy from the elements   -0.20 eV per atom
Theoretical density   7.88 g/cm3
SG   P-3m1, No. 164